12
Lattice="3.075 -5.321 0.000 3.075 5.321 0.000 -2.038 0.000 11.587" Properties=species:S:1:pos:R:3 comment="Tb6NdHo2Er3 (PBE-GGA, optimized geometry)" formation_energy_ev_per_atom=0.02 dft_energy_ev_per_atom=-4.5993 n_ef_per_ev_atom=1.283 pbc="T T T"
Tb 1.023 1.777 2.871
Tb 0.008 0.000 8.714
Tb 1.023 -1.777 2.871
Tb 3.089 1.777 8.716
Tb 4.104 0.000 2.873
Tb 3.089 -1.777 8.716
Nd 2.056 0.000 5.793
Ho 2.056 3.547 5.793
Ho 2.056 -3.547 5.793
Er 0.000 0.000 0.000
Er 3.075 1.777 0.000
Er 3.075 -1.777 0.000